# AlHW2 | the Alexandria database | PBE-GGA | optimized geometry
# Distance to the lowest polymorph of the same formula: 233 kJ/mol of formula units
# Total moment: 0.0000 μB per atom
data_AlHW2
_cell_length_a 5.986
_cell_length_b 5.986
_cell_length_c 5.986
_cell_angle_alpha 90.00
_cell_angle_beta 90.00
_cell_angle_gamma 90.00
_symmetry_space_group_name_H-M 'F m -3 m'
_symmetry_Int_Tables_number 225
_symmetry_space_group_name_Hall '-F 4 2 3'
loop_
_atom_site_label
_atom_site_fract_x
_atom_site_fract_y
_atom_site_fract_z
Al1 0.000 0.000 0.000
H1 0.000 0.000 0.500
W1 0.250 0.250 0.250